[1]
SmYCoAg: relaxed, PBE.

Cell and atoms, written as POSCAR:
```
SmYCoAg
1.0
0.000 3.540 3.540
3.540 0.000 3.540
3.540 3.540 0.000
Sm Y Co Ag
1 1 1 1
Direct
0.000 0.000 0.000
0.500 0.500 0.500
0.750 0.750 0.750
0.250 0.250 0.250
```

The uncorrected energy is -0.1991 hartree per atom. The magnetization comes out at 0.115 μB/atom. The density comes out at 7.60 g cm⁻³.



[2]
CoAgSn: relaxed, PBE.

Cell and atoms, written as POSCAR:
```
CoAgSn
1.0
3.842 0.000 0.000
0.000 3.842 0.000
0.000 0.000 6.985
Co Ag Sn
2 2 2
Direct
0.250 0.250 0.216
0.750 0.750 0.784
0.250 0.750 0.500
0.750 0.250 0.500
0.250 0.250 0.847
0.750 0.750 0.153
```

The uncorrected energy is -0.1615 hartree per atom. The magnetization comes out at 0.056 μB/atom. The density comes out at 9.20 g cm⁻³.



[3]
CoAgSn6: relaxed, PBE.

Cell and atoms, written as POSCAR:
```
CoAgSn6
1.0
3.223 1.861 5.504
-3.223 1.861 5.504
0.000 -3.721 5.504
Co Ag Sn
1 1 6
Direct
0.000 0.000 0.000
0.500 0.500 0.500
0.011 0.790 0.440
0.210 0.560 0.989
0.440 0.011 0.790
0.560 0.989 0.210
0.790 0.440 0.011
0.989 0.210 0.560
```

The uncorrected energy is -0.1537 hartree per atom. The magnetization comes out at 0.000 μB/atom. The density comes out at 7.37 g cm⁻³.



[4]
CoAg2Sn2: relaxed, PBE.

Cell and atoms, written as POSCAR:
```
CoAg2Sn2
1.0
6.820 0.000 0.000
0.000 6.820 0.000
0.000 0.000 4.383
Co Ag Sn
2 4 4
Direct
0.000 0.000 0.000
0.500 0.500 0.000
0.149 0.351 0.500
0.351 0.851 0.500
0.649 0.149 0.500
0.851 0.649 0.500
0.161 0.661 0.000
0.339 0.161 0.000
0.661 0.839 0.000
0.839 0.339 0.000
```

The uncorrected energy is -0.1427 hartree per atom. The magnetization comes out at 0.163 μB/atom. The density comes out at 8.34 g cm⁻³.



[5]
CoAg3Sn: relaxed, PBE.

Cell and atoms, written as POSCAR:
```
CoAg3Sn
1.0
4.834 0.000 0.000
0.000 4.834 0.000
0.000 0.000 4.834
Co Ag Sn
1 3 1
Direct
0.000 0.000 0.000
0.000 0.000 0.500
0.000 0.500 0.000
0.500 0.000 0.000
0.500 0.500 0.500
```

The energy above the lowest structure with this stoichiometry is 0.00 eV/f.u. The magnetization comes out at 0.342 μB/atom. The density comes out at 7.37 g cm⁻³.



[6]
CoAg2Sn: relaxed, PBE.

Cell and atoms, written as POSCAR:
```
CoAg2Sn
1.0
-1.903 1.903 10.078
1.903 -1.903 10.078
1.903 1.903 -10.078
Co Ag Sn
2 4 2
Direct
0.000 0.000 0.000
0.750 0.250 0.500
0.118 0.625 0.993
0.375 0.368 0.493
0.632 0.125 0.007
0.875 0.882 0.507
0.250 0.750 0.500
0.500 0.500 0.000
```

The uncorrected energy is -0.1406 hartree per atom. The magnetization comes out at 0.000 μB/atom. The density comes out at 8.95 g cm⁻³.